# NaTcPO2 GGA-PBE optimized geometry
data_NaTcPO2
_chemical_formula_sum 'Na1 Tc1 P1 O2'
_space_group_name_H-M_alt 'P 4/m m m'
_space_group_IT_number 123
_space_group_name_Hall '-P 4 2'
_cell_length_a 3.899
_cell_length_b 3.899
_cell_length_c 5.224
_cell_angle_alpha 90.00
_cell_angle_beta 90.00
_cell_angle_gamma 90.00
loop_
_atom_site_label
_atom_site_fract_x
_atom_site_fract_y
_atom_site_fract_z
Na1 0.000 0.000 0.000
Tc1 0.500 0.500 0.500
P1 0.000 0.000 0.500
O1 0.000 0.500 0.000
# Formation energy from raw total energies = 1.067 eV per atom
# Relative energy among the computed polymorphs = 42.59 kcal/mol of atoms